Below is crystalline Na2NpCoO5 at its relaxed geometry, with properties calculated at the PBE with a Hubbard U level.

```
data_Na2NpCoO5
_chemical_formula_sum 'Na4 Np2 Co2 O10'
_cell_length_a 7.1004
_cell_length_b 5.7792
_cell_length_c 5.7792
_cell_angle_alpha 90.00
_cell_angle_beta 90.00
_cell_angle_gamma 90.00
_symmetry_space_group_name_H-M 'P 1'
_symmetry_Int_Tables_number 1
loop_
_symmetry_equiv_pos_as_xyz
'x,y,z'
loop_
_atom_site_label
_atom_site_type_symbol
_atom_site_fract_x
_atom_site_fract_y
_atom_site_fract_z
O1 O 0.8285 0.7024 0.7976
Np1 Np 0.0000 0.0000 0.5000
O2 O 0.8285 0.2024 0.7024
O3 O 0.1715 0.7976 0.2976
O4 O 0.1715 0.2976 0.2024
O5 O 0.8285 0.2976 0.2024
Na1 Na 0.5000 0.1795 0.3205
O6 O 0.1715 0.2024 0.7024
Na2 Na 0.5000 0.8205 0.6795
O7 O 0.5000 0.0000 0.0000
Na3 Na 0.5000 0.3205 0.8205
Co1 Co 0.0000 0.0000 0.0000
O8 O 0.1715 0.7024 0.7976
Na4 Na 0.5000 0.6795 0.1795
O9 O 0.5000 0.5000 0.5000
Np2 Np 0.0000 0.5000 0.0000
O10 O 0.8285 0.7976 0.2976
Co2 Co 0.0000 0.5000 0.5000
```

Properties
Total energy, eV/cell: -115.77
Space group: No. 127
N(E_F), states/eV per cell: 13.202